No. 1
The following is a GGA-PBE calculation of a relaxed structure of Nd2Fe15Si2, from the Alexandria database. Values from VASP.

DFT total energy = -7.786 eV per atom

```
&SYSTEM
  ibrav = 0, nat = 19, ntyp = 3
/
ATOMIC_SPECIES
Si 28.09 Si.upf
Nd 144.24 Nd.upf
Fe 55.84 Fe.upf
CELL_PARAMETERS angstrom
-1.774 6.163 0.318
-6.260 -0.802 -1.181
-2.075 0.029 6.076
ATOMIC_POSITIONS crystal
Si 0.899 0.899 0.899
Si 0.101 0.101 0.101
Nd 0.654 0.654 0.654
Nd 0.346 0.346 0.346
Fe 0.000 0.000 0.500
Fe 0.000 0.500 0.000
Fe 0.500 0.000 0.000
Fe 0.287 0.713 0.000
Fe 0.713 0.000 0.287
Fe 0.000 0.287 0.713
Fe 0.287 0.000 0.713
Fe 0.000 0.713 0.287
Fe 0.713 0.287 0.000
Fe 0.339 0.339 0.845
Fe 0.339 0.845 0.339
Fe 0.845 0.339 0.339
Fe 0.661 0.661 0.155
Fe 0.661 0.155 0.661
Fe 0.155 0.661 0.661
```


No. 2
The following is a GGA-PBE calculation of a relaxed structure of NdFeSi2, from the Alexandria database. Values from VASP.

DFT total energy = -6.647 eV per atom

```
&SYSTEM
  ibrav = 0, nat = 4, ntyp = 3
/
ATOMIC_SPECIES
Si 28.09 Si.upf
Nd 144.24 Nd.upf
Fe 55.84 Fe.upf
CELL_PARAMETERS angstrom
3.928 0.000 0.000
1.964 3.402 0.000
1.964 1.134 5.232
ATOMIC_POSITIONS crystal
Si 0.795 0.795 0.614
Si 0.205 0.205 0.386
Nd 0.000 0.000 0.000
Fe 0.500 0.500 0.500
```


No. 3
The following is a GGA-PBE calculation of a relaxed structure of NdFe4Si2, from the Alexandria database. Values from VASP.

DFT total energy = -7.427 eV per atom

```
&SYSTEM
  ibrav = 0, nat = 14, ntyp = 3
/
ATOMIC_SPECIES
Nd 144.24 Nd.upf
Fe 55.84 Fe.upf
Si 28.09 Si.upf
CELL_PARAMETERS angstrom
3.727 0.000 0.000
0.000 7.229 0.000
0.000 0.000 7.229
ATOMIC_POSITIONS crystal
Nd 0.500 0.000 0.000
Nd 0.000 0.500 0.500
Fe 0.000 0.081 0.355
Fe 0.000 0.919 0.645
Fe 0.500 0.145 0.581
Fe 0.500 0.855 0.419
Fe 0.500 0.419 0.855
Fe 0.500 0.581 0.145
Fe 0.000 0.355 0.081
Fe 0.000 0.645 0.919
Si 0.000 0.221 0.779
Si 0.000 0.779 0.221
Si 0.500 0.721 0.721
Si 0.500 0.279 0.279
```


No. 4
The following is a GGA-PBE calculation of a relaxed structure of NdFe9Si4, from the Alexandria database. Values from VASP.

DFT total energy = -7.714 eV per atom

```
&SYSTEM
  ibrav = 0, nat = 28, ntyp = 3
/
ATOMIC_SPECIES
Nd 144.24 Nd.upf
Fe 55.84 Fe.upf
Si 28.09 Si.upf
CELL_PARAMETERS angstrom
-3.039 -5.043 -5.152
5.705 1.735 -5.064
1.910 -2.558 7.318
ATOMIC_POSITIONS crystal
Nd 0.750 0.750 0.500
Nd 0.250 0.250 0.500
Fe 0.067 0.200 0.000
Fe 0.933 0.800 0.000
Fe 0.567 0.300 0.000
Fe 0.433 0.700 0.000
Fe 0.300 0.433 0.000
Fe 0.700 0.567 0.000
Fe 0.200 0.933 0.000
Fe 0.800 0.067 0.000
Fe 0.000 0.500 0.000
Fe 0.500 0.000 0.000
Fe 0.804 0.304 0.360
Fe 0.556 0.056 0.360
Fe 0.944 0.196 0.640
Fe 0.696 0.444 0.640
Fe 0.196 0.696 0.640
Fe 0.444 0.944 0.640
Fe 0.304 0.556 0.360
Fe 0.056 0.804 0.360
Si 0.292 0.792 0.241
Si 0.949 0.449 0.241
Si 0.551 0.708 0.759
Si 0.208 0.051 0.759
Si 0.708 0.208 0.759
Si 0.051 0.551 0.759
Si 0.792 0.949 0.241
Si 0.449 0.292 0.241
```


No. 5
The following is a GGA-PBE calculation of a relaxed structure of NdFe12Si6, from the Alexandria database. Values from VASP.

DFT total energy = -7.552 eV per atom

```
&SYSTEM
  ibrav = 0, nat = 19, ntyp = 3
/
ATOMIC_SPECIES
Nd 144.24 Nd.upf
Fe 55.84 Fe.upf
Si 28.09 Si.upf
CELL_PARAMETERS angstrom
-6.231 -2.144 -0.012
3.661 -5.424 -0.776
1.118 1.927 6.202
ATOMIC_POSITIONS crystal
Nd 0.000 0.000 0.000
Fe 0.876 0.124 0.500
Fe 0.836 0.564 0.564
Fe 0.564 0.564 0.836
Fe 0.436 0.164 0.436
Fe 0.436 0.436 0.164
Fe 0.164 0.436 0.436
Fe 0.124 0.500 0.876
Fe 0.500 0.876 0.124
Fe 0.124 0.876 0.500
Fe 0.876 0.500 0.124
Fe 0.500 0.124 0.876
Fe 0.564 0.836 0.564
Si 0.704 0.244 0.244
Si 0.244 0.244 0.704
Si 0.244 0.704 0.244
Si 0.756 0.756 0.296
Si 0.296 0.756 0.756
Si 0.756 0.296 0.756
```


No. 6
The following is a GGA-PBE calculation of a relaxed structure of NdFeSi2, from the Alexandria database. Values from VASP.

DFT total energy = -6.659 eV per atom

```
&SYSTEM
  ibrav = 0, nat = 16, ntyp = 3
/
ATOMIC_SPECIES
Nd 144.24 Nd.upf
Fe 55.84 Fe.upf
Si 28.09 Si.upf
CELL_PARAMETERS angstrom
4.021 0.000 0.000
0.000 6.902 0.000
0.000 0.000 9.970
ATOMIC_POSITIONS crystal
Nd 0.750 0.656 0.378
Nd 0.750 0.156 0.122
Nd 0.250 0.344 0.622
Nd 0.250 0.844 0.878
Fe 0.250 0.012 0.389
Fe 0.750 0.988 0.611
Fe 0.250 0.512 0.111
Fe 0.750 0.488 0.889
Si 0.750 0.672 0.078
Si 0.250 0.328 0.922
Si 0.750 0.172 0.422
Si 0.250 0.828 0.578
Si 0.750 0.161 0.812
Si 0.250 0.339 0.312
Si 0.750 0.661 0.688
Si 0.250 0.839 0.188
```


Q: What is the formula in the fourth record?
A: NdFe9Si4


Repeat the fourth record exactly.
The following is a GGA-PBE calculation of a relaxed structure of NdFe9Si4, from the Alexandria database. Values from VASP.

DFT total energy = -7.714 eV per atom

```
&SYSTEM
  ibrav = 0, nat = 28, ntyp = 3
/
ATOMIC_SPECIES
Nd 144.24 Nd.upf
Fe 55.84 Fe.upf
Si 28.09 Si.upf
CELL_PARAMETERS angstrom
-3.039 -5.043 -5.152
5.705 1.735 -5.064
1.910 -2.558 7.318
ATOMIC_POSITIONS crystal
Nd 0.750 0.750 0.500
Nd 0.250 0.250 0.500
Fe 0.067 0.200 0.000
Fe 0.933 0.800 0.000
Fe 0.567 0.300 0.000
Fe 0.433 0.700 0.000
Fe 0.300 0.433 0.000
Fe 0.700 0.567 0.000
Fe 0.200 0.933 0.000
Fe 0.800 0.067 0.000
Fe 0.000 0.500 0.000
Fe 0.500 0.000 0.000
Fe 0.804 0.304 0.360
Fe 0.556 0.056 0.360
Fe 0.944 0.196 0.640
Fe 0.696 0.444 0.640
Fe 0.196 0.696 0.640
Fe 0.444 0.944 0.640
Fe 0.304 0.556 0.360
Fe 0.056 0.804 0.360
Si 0.292 0.792 0.241
Si 0.949 0.449 0.241
Si 0.551 0.708 0.759
Si 0.208 0.051 0.759
Si 0.708 0.208 0.759
Si 0.051 0.551 0.759
Si 0.792 0.949 0.241
Si 0.449 0.292 0.241
```


Q: Which value of DFT total energy does entry 5 give?
A: -7.552 eV per atom